No. 1
A plane-wave DFT calculation with PBE-GGA was carried out for an optimized crystal structure of Ag2PbBr.

a = 3.5780 Å, b = 3.7183 Å, c = 7.7064 Å
α = 90.00°, β = 102.79°, γ = 90.00°
With the nearest neighbours (Å) after each atom.
Fractional positions:
Ag1 0.0000 0.0000 0.0000  2 Br 2.77, 4 Ag 2.89
Ag2 0.4169 0.5000 0.8259  4 Ag 2.89, 4 Pb 3.15-3.16
Pb1 0.7982 0.0000 0.5838  5 Ag 3.13-3.16, 4 Br 3.48
Br1 0.1496 0.5000 0.2734  2 Ag 2.77

Results
The value obtained for the relative energy among the computed polymorphs is 0.0 kJ per mole of atoms. The calculation puts the total DFT energy (no corrections) at -2.85 eV/atom. As for the crystal system: monoclinic. The raw formation energy comes out at -7.7 kJ/mol of atoms.

=====

No. 2
A plane-wave DFT calculation with PBE-GGA was carried out for an optimized crystal structure of AgPbBr2.

a = 7.5073 Å, b = 7.5073 Å, c = 7.5073 Å
α = 148.26°, β = 142.32°, γ = 50.07°
With the nearest neighbours (Å) after each atom.
Fractional positions:
Ag1 0.0000 0.0000 0.0000  4 Br 2.87, 4 Pb 3.18
Pb1 0.5000 0.5000 0.0000  4 Br 3.14, 4 Ag 3.18
Br1 0.1473 0.6473 0.5000  2 Ag 2.87, 2 Pb 3.14
Br2 0.8527 0.3527 0.5000  2 Ag 2.87, 2 Pb 3.14

Results
The value obtained for the relative energy among the computed polymorphs is 0.7 kJ per mole of atoms. The calculation puts the total DFT energy (no corrections) at -2.82 eV/atom. As for the crystal system: orthorhombic. The raw formation energy comes out at -32.9 kJ/mol of atoms.

=====

No. 3
A plane-wave DFT calculation with PBE-GGA was carried out for an optimized crystal structure of AgPbBr2.

a = 3.7474 Å, b = 3.7474 Å, c = 8.4001 Å
α = 90.00°, β = 90.00°, γ = 92.52°
With the nearest neighbours (Å) after each atom.
Fractional positions:
Ag1 0.0000 0.0000 0.0000  4 Br 2.87-2.97
Pb1 0.5000 0.5000 0.2358  5 Br 3.19-3.28, 4 Ag 3.26-3.35
Br1 0.0000 0.0000 0.4573  4 Pb 3.19-3.28
Br2 0.5000 0.5000 0.8537  4 Ag 2.87-2.97, 1 Pb 3.21

Results
The value obtained for the relative energy among the computed polymorphs is 8.8 kJ per mole of atoms. The calculation puts the total DFT energy (no corrections) at -2.73 eV/atom. As for the crystal system: orthorhombic. The raw formation energy comes out at -24.8 kJ/mol of atoms.